Density functional theory data (SCAN) for a crystal of YTcW2 relaxed with PBEsol.

Output
**Uncorrected energy**: -401.7 eV per cell
**Total moment**: 0.000 μB per atom
**Calculated formation energy**: 8.1 kcal/mol of atoms
**Fermi-level density of states**: 0.75 states/eV/atom

CIF file:
```
data_YTcW2
_chemical_formula_sum 'Y2 Tc2 W4'
_space_group_name_H-M_alt 'C m m 2'
_space_group_IT_number 35
_cell_length_a 3.2036
_cell_length_b 4.6343
_cell_length_c 9.2002
_cell_angle_alpha 90.00
_cell_angle_beta 90.00
_cell_angle_gamma 90.00
loop_
_space_group_symop_operation_xyz
'x,y,z'
'-x,-y,z'
'-x,y,z'
'x,-y,z'
'x+1/2,y+1/2,z'
'-x+1/2,-y+1/2,z'
'-x+1/2,y+1/2,z'
'x+1/2,-y+1/2,z'
loop_
_atom_site_label
_atom_site_type_symbol
_atom_site_fract_x
_atom_site_fract_y
_atom_site_fract_z
Y1 Y 0.0000 0.0000 0.0000
Tc1 Tc 0.0000 0.5000 0.2626
W1 W 0.0000 0.0000 0.4854
W2 W 0.0000 0.5000 0.7182
```

=====

Density functional theory data (SCAN) for a crystal of Y4TcW relaxed with PBEsol.

Output
**Uncorrected energy**: -832.4 eV per cell
**Total moment**: 0.000 μB per atom
**Calculated formation energy**: 30.8 kcal/mol of atoms
**Fermi-level density of states**: 1.60 states/eV/atom

CIF file:
```
data_Y4TcW
_chemical_formula_sum 'Y16 Tc4 W4'
_space_group_name_H-M_alt 'F -4 3 m'
_space_group_IT_number 216
_space_group_name_Hall 'F -4 2 3'
_cell_length_a 8.1554
_cell_length_b 8.1554
_cell_length_c 8.1554
_cell_angle_alpha 90.00
_cell_angle_beta 90.00
_cell_angle_gamma 90.00
loop_
_atom_site_label
_atom_site_type_symbol
_atom_site_fract_x
_atom_site_fract_y
_atom_site_fract_z
Y1 Y 0.1250 0.1250 0.1250
Tc1 Tc 0.0000 0.0000 0.5000
W1 W 0.2500 0.2500 0.7500
```

=====

- Which of these has the highest uncorrected energy?
  YTcW2